4
Lattice="4.404 0.000 0.000 0.000 4.404 0.000 0.000 0.000 3.417" Properties=species:S:1:pos:R:3 comment="ScTlOs2, relaxed, DFT PBEsol" total_magnetization_mub_per_cell=0.00 dos_at_fermi_per_ev_atom=1.2764 delta_e_f_ev_per_atom=0.349 pbc="T T T"
Sc 0.000 0.000 0.000
Tl 2.202 2.202 0.000
Os 0.000 2.202 1.708
Os 2.202 0.000 1.708

3
Lattice="-1.592 1.592 4.744 1.592 -1.592 4.744 1.592 1.592 -4.744" Properties=species:S:1:pos:R:3 comment="ScAlRu, relaxed, DFT PBEsol" total_magnetization_mub_per_cell=0.00 dos_at_fermi_per_ev_atom=0.0627 delta_e_f_ev_per_atom=-0.614 pbc="T T T"
Sc 0.000 0.000 0.000
Al 0.000 0.000 2.826
Ru 0.000 0.000 6.312

4
Lattice="2.690 -2.771 0.000 2.690 2.771 0.000 0.000 0.000 7.339" Properties=species:S:1:pos:R:3 comment="SrZnPb2, relaxed, DFT PBEsol" total_magnetization_mub_per_cell=0.00 dos_at_fermi_per_ev_atom=0.5340 delta_e_f_ev_per_atom=-0.153 pbc="T T T"
Sr 0.000 0.000 0.000
Zn 0.000 0.000 3.669
Pb 2.690 0.000 2.164
Pb 2.690 0.000 5.175

5
Lattice="2.022 1.168 10.448 -2.022 1.168 10.448 0.000 -2.335 10.448" Properties=species:S:1:pos:R:3 comment="Y3Te2, relaxed, DFT PBEsol" total_magnetization_mub_per_cell=0.46 dos_at_fermi_per_ev_atom=0.8655 e_tot_ev_per_atom=-6.557 pbc="T T T"
Y 0.000 0.000 0.000
Y 0.000 0.000 6.567
Y 0.000 0.000 24.777
Te 0.000 0.000 12.358
Te 0.000 0.000 18.987

20
Lattice="5.421 0.000 0.000 -2.710 4.694 0.000 0.000 0.000 9.061" Properties=species:S:1:pos:R:3 comment="SrMnO3, relaxed, DFT PBEsol" total_magnetization_mub_per_cell=12.00 dos_at_fermi_per_ev_atom=0.0702 e_tot_ev_per_atom=-7.768 pbc="T T T"
Sr 0.000 0.000 0.000
Sr 0.000 0.000 4.530
Sr 0.000 3.130 2.265
Sr 2.710 1.565 6.795
Mn 0.000 3.130 5.559
Mn 0.000 3.130 8.032
Mn 2.710 1.565 1.028
Mn 2.710 1.565 3.502
O -1.355 2.347 0.000
O -1.355 2.347 4.530
O 0.000 1.691 6.795
O -1.245 3.849 6.795
O 1.465 0.846 2.265
O 2.710 0.000 0.000
O 2.710 0.000 4.530
O 1.355 2.347 0.000
O 1.355 2.347 4.530
O 1.245 3.849 6.795
O 3.956 0.846 2.265
O 2.710 3.003 2.265

4
Lattice="0.000 3.225 3.225 3.225 0.000 3.225 3.225 3.225 0.000" Properties=species:S:1:pos:R:3 comment="ZnGa2P, relaxed, DFT PBEsol" total_magnetization_mub_per_cell=0.00 dos_at_fermi_per_ev_atom=0.3416 delta_e_f_ev_per_atom=0.205 pbc="T T T"
Zn 0.000 0.000 0.000
Ga 1.612 1.612 1.612
Ga 4.837 4.837 4.837
P 3.225 3.225 3.225

4
Lattice="4.525 0.000 0.000 0.000 3.753 0.000 -1.578 0.000 5.021" Properties=species:S:1:pos:R:3 comment="BeAlSb2, relaxed, DFT PBEsol" total_magnetization_mub_per_cell=0.00 dos_at_fermi_per_ev_atom=0.4623 e_tot_ev_per_atom=-3.961 pbc="T T T"
Be 0.000 0.000 0.000
Al 1.473 0.000 2.510
Sb -0.276 1.877 3.919
Sb 3.223 1.877 1.102

5
Lattice="5.201 0.000 0.000 0.000 5.201 0.000 0.000 0.000 5.201" Properties=species:S:1:pos:R:3 comment="KSc3Br, relaxed, DFT PBEsol" total_magnetization_mub_per_cell=0.00 dos_at_fermi_per_ev_atom=2.2362 e_tot_ev_per_atom=-4.306 pbc="T T T"
K 0.000 0.000 0.000
Sc 0.000 2.601 2.601
Sc 2.601 0.000 2.601
Sc 2.601 2.601 0.000
Br 2.601 2.601 2.601

4
Lattice="1.757 1.014 10.874 -1.757 1.014 10.874 0.000 -2.029 10.874" Properties=species:S:1:pos:R:3 comment="SrMg3, relaxed, DFT PBEsol" total_magnetization_mub_per_cell=0.00 dos_at_fermi_per_ev_atom=0.6114 delta_e_f_ev_per_atom=0.151 pbc="T T T"
Sr 0.000 0.000 0.000
Mg 0.000 0.000 7.902
Mg 0.000 0.000 16.311
Mg 0.000 0.000 24.720

4
Lattice="2.880 0.000 0.000 0.000 2.880 0.000 0.000 0.000 7.957" Properties=species:S:1:pos:R:3 comment="IrW2Br, relaxed, DFT PBEsol" total_magnetization_mub_per_cell=0.00 dos_at_fermi_per_ev_atom=0.5869 e_tot_ev_per_atom=-9.344 pbc="T T T"
Ir 0.000 0.000 0.000
W 0.000 0.000 3.717
W 1.440 1.440 1.656
Br 1.440 1.440 5.458

5
Lattice="5.156 0.000 0.000 0.000 5.156 0.000 0.000 0.000 4.630" Properties=species:S:1:pos:R:3 comment="ZnAsOsBr2, relaxed, DFT PBEsol" total_magnetization_mub_per_cell=0.20 dos_at_fermi_per_ev_atom=0.9961 e_tot_ev_per_atom=-3.931 pbc="T T T"
Zn 0.000 0.000 0.000
As 2.578 2.578 0.000
Os 2.578 2.578 2.315
Br 0.000 2.578 2.315
Br 2.578 0.000 2.315

3
Lattice="0.000 3.887 3.887 3.887 0.000 3.887 3.887 3.887 0.000" Properties=species:S:1:pos:R:3 comment="KMgIn, relaxed, DFT PBEsol" total_magnetization_mub_per_cell=0.00 dos_at_fermi_per_ev_atom=0.8901 delta_e_f_ev_per_atom=0.546 pbc="T T T"
K 0.000 0.000 0.000
Mg 5.831 5.831 5.831
In 1.944 1.944 1.944

4
Lattice="0.000 3.057 3.057 3.057 0.000 3.057 3.057 3.057 0.000" Properties=species:S:1:pos:R:3 comment="TaMnRu2, relaxed, DFT PBEsol" total_magnetization_mub_per_cell=4.03 dos_at_fermi_per_ev_atom=0.7681 delta_e_f_ev_per_atom=-0.166 pbc="T T T"
Ta 0.000 0.000 0.000
Mn 3.057 3.057 3.057
Ru 1.529 1.529 1.529
Ru 4.586 4.586 4.586